Entry 1
# PBE-GGA Cs2BrF, optimized geometry
data_Cs2BrF
_symmetry_space_group_name_H-M 'P 4/m m m'
_symmetry_Int_Tables_number 123
_symmetry_space_group_name_Hall '-P 4 2'
_cell_length_a 4.022
_cell_length_b 4.022
_cell_length_c 8.299
_cell_angle_alpha 90.00
_cell_angle_beta 90.00
_cell_angle_gamma 90.00
loop_
_atom_site_label
_atom_site_type_symbol
_atom_site_fract_x
_atom_site_fract_y
_atom_site_fract_z
Cs1 Cs 0.000 0.000 0.221
Br1 Br 0.500 0.500 0.500
F1 F 0.500 0.500 0.000
# * V: 134 Å³/cell

=====

Entry 2
# PBE-GGA Cs2BrF, optimized geometry
data_Cs2BrF
_symmetry_space_group_name_H-M 'R 3 m'
_symmetry_Int_Tables_number 160
_symmetry_space_group_name_Hall 'R 3 -2"'
_cell_length_a 4.6151
_cell_length_b 4.6151
_cell_length_c 24.5341
_cell_angle_alpha 90.00
_cell_angle_beta 90.00
_cell_angle_gamma 120.00
loop_
_atom_site_label
_atom_site_type_symbol
_atom_site_fract_x
_atom_site_fract_y
_atom_site_fract_z
Cs1 Cs 0.0000 0.0000 0.0000
Cs2 Cs 0.0000 0.0000 0.1968
Br1 Br 0.0000 0.0000 0.4314
F1 F 0.0000 0.0000 0.5990
# * V: 453 Å³/cell

=====

Here are the energies relative to the best structure, in eV/atom: entry 1 0.075; entry 2 0.000.